No. 1
# FeSnSe2

A relaxed FeSnSe2 crystal (PBE, Alexandria via LeMat-Bulk).

* SG: R-3m (166)
* DFT total energy: -4.407 eV/atom
* total magnetic moment: 0.0 μB per formula unit
* density: 4.99 g cm⁻³
* calculated volume: 110.69 Å³/f.u.
* raw formation energy: 10.406 kcal/mol of atoms

Unit cell a=8.120 b=8.120 c=8.120 alpha=28.92 beta=28.92 gamma=28.92
Fractional positions:
Sn 0.500 0.500 0.500
Se 0.904 0.904 0.904
Se 0.096 0.096 0.096
Fe 0.000 0.000 0.000



No. 2
# Pr3Y3TmSe8

A relaxed Pr3Y3TmSe8 crystal (PBE, Alexandria via LeMat-Bulk).

* SG: R-3m (166)
* DFT total energy: -6.261 eV/atom
* total magnetic moment: 0.0 μB per formula unit
* density: 6.10 g cm⁻³
* calculated volume: 405.90 Å³/f.u.
* raw formation energy: -42.792 kcal/mol of atoms

Unit cell a=8.261 b=8.261 c=8.361 alpha=119.61 beta=90.00 gamma=120.00
Fractional positions:
Pr 0.000 0.000 0.000
Pr 0.000 0.500 0.000
Pr 0.500 0.500 0.000
Y 0.500 0.000 0.500
Y 0.500 0.500 0.500
Y 0.000 0.500 0.500
Tm 0.000 0.000 0.500
Se 0.255 0.510 0.265
Se 0.745 0.490 0.735
Se 0.754 0.509 0.264
Se 0.246 0.491 0.736
Se 0.754 0.010 0.264
Se 0.246 0.990 0.736
Se 0.256 0.010 0.264
Se 0.744 0.990 0.736



No. 3
# LiHo3Tm2S6

A relaxed LiHo3Tm2S6 crystal (PBE, Alexandria via LeMat-Bulk).

* SG: C2/m (12)
* DFT total energy: -6.053 eV/atom
* total magnetic moment: 0.0 μB per formula unit
* density: 7.09 g cm⁻³
* calculated volume: 241.66 Å³/f.u.
* raw formation energy: -44.741 kcal/mol of atoms

Unit cell a=6.659 b=6.659 c=6.685 alpha=99.58 beta=99.58 gamma=120.13
Fractional positions:
Li 0.000 0.000 0.000
Ho 0.165 0.835 0.500
Ho 0.835 0.165 0.500
Ho 0.500 0.500 0.500
Tm 0.334 0.666 0.000
Tm 0.666 0.334 0.000
S 0.919 0.591 0.757
S 0.754 0.754 0.240
S 0.081 0.409 0.243
S 0.591 0.919 0.757
S 0.246 0.246 0.760
S 0.409 0.081 0.243



No. 4
# Na2CdCuN

A relaxed Na2CdCuN crystal (PBE, Alexandria via LeMat-Bulk).

* SG: P4/mmm (123)
* DFT total energy: -3.092 eV/atom
* total magnetic moment: 0.0 μB per formula unit
* density: 4.14 g cm⁻³
* calculated volume: 94.58 Å³/f.u.
* raw formation energy: 2.380 kcal/mol of atoms

Unit cell a=5.089 b=5.089 c=3.652 alpha=90.00 beta=90.00 gamma=90.00
Fractional positions:
Na 0.000 0.500 0.000
Na 0.500 0.000 0.000
N 0.000 0.000 0.000
Cu 0.000 0.000 0.500
Cd 0.500 0.500 0.500



No. 5
# ScPa2Tl3Te6

A relaxed ScPa2Tl3Te6 crystal (PBE, Alexandria via LeMat-Bulk).

* SG: C2/m (12)
* DFT total energy: -4.971 eV/atom
* total magnetic moment: 4.0 μB per formula unit
* density: 7.72 g cm⁻³
* calculated volume: 405.66 Å³/f.u.
* raw formation energy: -16.097 kcal/mol of atoms

Unit cell a=7.434 b=7.434 c=8.816 alpha=98.10 beta=98.10 gamma=119.83
Fractional positions:
Sc 0.000 0.000 0.000
Pa 0.335 0.665 0.000
Pa 0.665 0.335 0.000
Tl 0.171 0.829 0.500
Tl 0.829 0.171 0.500
Tl 0.500 0.500 0.500
Te 0.930 0.607 0.787
Te 0.751 0.751 0.218
Te 0.070 0.393 0.213
Te 0.607 0.930 0.787
Te 0.249 0.249 0.782
Te 0.393 0.070 0.213



No. 6
# Ac4YTh3N8

A relaxed Ac4YTh3N8 crystal (PBE, Alexandria via LeMat-Bulk).

* SG: R-3m (166)
* DFT total energy: -8.350 eV/atom
* total magnetic moment: 0.0 μB per formula unit
* density: 10.01 g cm⁻³
* calculated volume: 299.51 Å³/f.u.
* raw formation energy: -31.478 kcal/mol of atoms

Unit cell a=7.465 b=7.556 c=7.465 alpha=119.60 beta=120.00 gamma=90.00
Fractional positions:
Ac 0.500 0.000 0.000
Ac 0.500 0.000 0.500
Ac 0.000 0.000 0.000
Ac 0.000 0.000 0.500
Y 0.000 0.500 0.000
Th 0.500 0.500 0.000
Th 0.500 0.500 0.500
Th 0.000 0.500 0.500
N 0.240 0.718 0.978
N 0.240 0.718 0.481
N 0.262 0.285 0.523
N 0.738 0.718 0.978
N 0.262 0.282 0.022
N 0.738 0.715 0.477
N 0.760 0.282 0.519
N 0.760 0.282 0.022



No. 7
# SiP3O

A relaxed SiP3O crystal (PBE, Alexandria via LeMat-Bulk).

* SG: Pm-3m (221)
* DFT total energy: -4.630 eV/atom
* total magnetic moment: 0.0 μB per formula unit
* density: 3.19 g cm⁻³
* calculated volume: 71.40 Å³/f.u.
* raw formation energy: 15.962 kcal/mol of atoms
* E above lowest polymorph: 0 meV per atom

Unit cell a=4.149 b=4.149 c=4.149 alpha=90.00 beta=90.00 gamma=90.00
Fractional positions:
P 0.000 0.500 0.000
P 0.000 0.000 0.500
P 0.500 0.000 0.000
Si 0.500 0.500 0.500
O 0.000 0.000 0.000



No. 8
# Sr2ErP2N6

A relaxed Sr2ErP2N6 crystal (PBE, Alexandria via LeMat-Bulk).

* SG: R-3m (166)
* DFT total energy: -7.111 eV/atom
* total magnetic moment: 0.0 μB per formula unit
* density: 4.76 g cm⁻³
* calculated volume: 170.24 Å³/f.u.
* raw formation energy: -19.962 kcal/mol of atoms

Unit cell a=5.724 b=5.724 c=6.850 alpha=65.31 beta=65.31 gamma=60.00
Fractional positions:
Sr 0.794 0.794 0.619
Sr 0.206 0.206 0.381
Er 0.000 0.000 0.000
P 0.417 0.417 0.748
P 0.583 0.583 0.252
N 0.740 0.740 0.257
N 0.263 0.740 0.257
N 0.740 0.263 0.257
N 0.260 0.737 0.743
N 0.737 0.260 0.743
N 0.260 0.260 0.743



No. 9
# Cr2PtBr

A relaxed Cr2PtBr crystal (PBE, Alexandria via LeMat-Bulk).

* SG: Imm2 (44)
* DFT total energy: -6.436 eV/atom
* total magnetic moment: 8.2 μB per formula unit
* density: 7.95 g cm⁻³
* calculated volume: 79.18 Å³/f.u.
* raw formation energy: 7.016 kcal/mol of atoms
* E above lowest polymorph: 156 meV per atom

Unit cell a=7.239 b=7.239 c=7.239 alpha=154.23 beta=151.26 gamma=38.98
Fractional positions:
Br 0.196 0.696 0.500
Cr 0.031 0.031 0.000
Cr 0.817 0.317 0.500
Pt 0.456 0.456 0.000



No. 10
# Pm5Ge5Pd2

A relaxed Pm5Ge5Pd2 crystal (PBE, Alexandria via LeMat-Bulk).

* SG: C2/m (12)
* DFT total energy: -5.489 eV/atom
* total magnetic moment: 0.0 μB per formula unit
* density: 7.80 g cm⁻³
* calculated volume: 277.04 Å³/f.u.
* formation energy from the elements: -0.72 eV/atom
* E above lowest polymorph: 101 meV per atom

Unit cell a=4.364 b=6.263 c=13.027 alpha=121.51 beta=90.00 gamma=110.39
Fractional positions:
Pm 0.500 0.000 0.500
Pm 0.660 0.320 0.003
Pm 0.654 0.308 0.273
Pm 0.346 0.692 0.727
Pm 0.340 0.680 0.997
Ge 0.166 0.332 0.454
Ge 0.691 0.382 0.785
Ge 0.309 0.618 0.215
Ge 0.834 0.668 0.546
Ge 0.000 0.000 0.000
Pd 0.065 0.129 0.747
Pd 0.935 0.871 0.253



No. 11
# Er4Mg3Cd4

A relaxed Er4Mg3Cd4 crystal (PBE, Alexandria via LeMat-Bulk).

* SG: Immm (71)
* DFT total energy: -2.492 eV/atom
* total magnetic moment: 0.0 μB per formula unit
* density: 6.96 g cm⁻³
* calculated volume: 284.18 Å³/f.u.
* formation energy from the elements: -0.07 eV/atom

Unit cell a=3.366 b=9.343 c=10.310 alpha=116.94 beta=99.40 gamma=90.00
Fractional positions:
Er 0.335 0.148 0.670
Er 0.665 0.478 0.330
Er 0.665 0.852 0.330
Er 0.335 0.522 0.670
Mg 0.092 0.092 0.184
Mg 0.908 0.908 0.816
Mg 0.000 0.500 0.000
Cd 0.274 0.774 0.548
Cd 0.726 0.226 0.452
Cd 0.500 0.788 0.000
Cd 0.500 0.212 0.000



No. 12
# ScTeSN2

A relaxed ScTeSN2 crystal (PBE, Alexandria via LeMat-Bulk).

* SG: P4/mmm (123)
* DFT total energy: -5.235 eV/atom
* total magnetic moment: 0.8 μB per formula unit
* density: 3.61 g cm⁻³
* calculated volume: 107.01 Å³/f.u.
* raw formation energy: 18.794 kcal/mol of atoms
* E above lowest polymorph: 183 meV per atom

Unit cell a=4.008 b=4.008 c=6.660 alpha=90.00 beta=90.00 gamma=90.00
Fractional positions:
Sc 0.000 0.000 0.000
S 0.500 0.500 0.500
Te 0.000 0.000 0.500
N 0.000 0.500 0.000
N 0.500 0.000 0.000